## Ca3BeH6 (PBE)

Data for Ca3BeH6 after structural relaxation.

Cell and atoms, written as extended XYZ:
```
20
Lattice="5.120 0.000 0.000 0.000 7.095 0.008 0.000 -1.576 6.918" Properties=species:S:1:pos:R:3 pbc="T T T"
H 1.143 5.281 1.454
H 3.364 4.158 0.847
H 0.804 -0.102 4.242
H 0.717 -0.977 6.441
H 0.804 1.361 6.078
H 3.278 6.496 0.485
H 3.612 3.566 4.605
H 1.051 3.693 4.504
H 3.364 5.621 2.683
H 3.612 1.826 2.422
H 3.703 0.239 5.472
H 1.051 1.953 2.320
Ca 4.820 3.695 2.717
Ca 4.953 3.416 6.316
Ca 4.953 0.125 2.187
Ca 2.393 5.395 4.739
Ca 2.393 2.104 0.610
Ca 2.260 1.824 4.209
Be 2.670 5.398 1.360
Be 0.110 0.121 5.566
```

Calculated values
DFT total energy, Ry per atom: -0.2435
Total moment, μB per cell: 1.1